# 1
Here is a relaxed structure of MgAl2O4 from the Alexandria database. Energies are from PBEsol.

a b c (Å): 8.109 8.109 8.109
angles (deg): 90.00 90.00 90.00
Space group Fd-3m (No. 227, origin choice 2)
Unique sites:
Mg: 0.125 0.125 0.125
Al: 0.000 0.000 0.500
O: 0.014 0.014 0.736

## Properties
The formation energy (no corrections) comes out at -3023 meV per atom.

# 2
Here is a relaxed structure of MgAlPO5 from the Alexandria database. Energies are from PBEsol.

a b c (Å): 7.121 10.378 5.469
angles (deg): 90.00 98.38 90.00
Space group P2_1/c (No. 14)
Unique sites:
Mg: 0.015 0.142 0.117
Al: 0.359 0.174 0.558
P: 0.219 0.598 0.931
O: 0.086 0.686 0.059
O: 0.110 0.545 0.687
O: 0.268 0.219 0.257
O: 0.284 0.015 0.608
O: 0.392 0.676 0.879

## Properties
The formation energy (no corrections) comes out at -2730 meV per atom.

# 3
Here is a relaxed structure of MgAl2P3O12 from the Alexandria database. Energies are from PBEsol.

a b c (Å): 13.206 12.923 8.958
angles (deg): 90.00 90.85 90.00
Space group Cc (No. 9)
Unique sites:
Mg: 0.000 0.125 0.000
Al: 0.123 0.488 0.739
Al: 0.262 0.126 0.480
P: 0.002 0.379 0.001
P: 0.143 0.018 0.740
P: 0.248 0.375 0.477
O: 0.017 0.268 0.050
O: 0.029 0.453 0.130
O: 0.064 0.032 0.138
O: 0.067 0.404 0.866
O: 0.089 0.098 0.836
O: 0.192 0.420 0.340
O: 0.195 0.065 0.337
O: 0.201 0.418 0.621
O: 0.225 0.072 0.649
O: 0.233 0.257 0.475
O: 0.359 0.403 0.472
O: 0.390 0.103 0.456

## Properties
The formation energy (no corrections) comes out at -2453 meV per atom.

# 4
Here is a relaxed structure of Mg3Al7Si4O22 from the Alexandria database. Energies are from PBEsol.

a b c (Å): 6.753 16.125 13.756
angles (deg): 90.00 90.00 90.00
Space group Amm2 (No. 38)
Unique sites:
Mg: 0.000 0.000 0.000
Mg: 0.000 0.118 0.482
Mg: 0.500 0.000 0.704
Mg: 0.500 0.122 0.213
Al: 0.000 0.187 0.989
Al: 0.250 0.096 0.852
Al: 0.251 0.214 0.353
Al: 0.500 0.185 0.017
Al: 0.500 0.186 0.710
Si: 0.000 0.000 0.695
Si: 0.000 0.099 0.204
Si: 0.000 0.180 0.681
Si: 0.500 0.000 0.009
Si: 0.500 0.098 0.499
O: 0.000 0.000 0.225
O: 0.000 0.000 0.445
O: 0.000 0.084 0.630
O: 0.000 0.095 0.896
O: 0.000 0.103 0.083
O: 0.000 0.225 0.395
O: 0.000 0.233 0.584
O: 0.199 0.142 0.250
O: 0.201 0.000 0.762
O: 0.201 0.181 0.750
O: 0.283 0.184 0.943
O: 0.301 0.141 0.454
O: 0.302 0.000 0.938
O: 0.500 0.000 0.255
O: 0.500 0.000 0.473
O: 0.500 0.084 0.071
O: 0.500 0.098 0.804
O: 0.500 0.100 0.619
O: 0.500 0.230 0.308
O: 0.500 0.235 0.124

## Properties
The formation energy (no corrections) comes out at -2853 meV per atom.

# 5
Here is a relaxed structure of Mg30TiAlO32 from the Alexandria database. Energies are from PBEsol.

a b c (Å): 8.460 8.460 8.454
angles (deg): 90.00 90.00 90.00
Space group P4/mmm (No. 123)
Unique sites:
Mg: 0.000 0.000 0.000
Mg: 0.000 0.249 0.250
Mg: 0.000 0.500 0.000
Mg: 0.000 0.500 0.500
Mg: 0.248 0.248 0.500
Mg: 0.249 0.249 0.000
Mg: 0.249 0.500 0.250
Mg: 0.500 0.500 0.000
Ti: 0.000 0.000 0.500
Al: 0.500 0.500 0.500
O: 0.000 0.000 0.242
O: 0.000 0.252 0.000
O: 0.000 0.262 0.500
O: 0.000 0.500 0.251
O: 0.251 0.251 0.250
O: 0.253 0.500 0.000
O: 0.267 0.500 0.500
O: 0.500 0.500 0.264

## Properties
The formation energy (no corrections) comes out at -2678 meV per atom.

# 6
Here is a relaxed structure of MgAlOs2 from the Alexandria database. Energies are from PBEsol.

a b c (Å): 8.748 2.827 4.850
angles (deg): 90.00 102.63 90.00
Space group C2/m (No. 12)
Unique sites:
Mg: 0.000 0.000 0.000
Al: 0.000 0.500 0.500
Os: 0.239 0.000 0.730

## Properties
For the formation energy, the calculation gives 0.100 eV/atom.

# 7
Here is a relaxed structure of MgAlOs from the Alexandria database. Energies are from PBEsol.

a b c (Å): 5.941 5.941 5.941
angles (deg): 90.00 90.00 90.00
Space group F-43m (No. 216)
Unique sites:
Mg: 0.000 0.000 0.000
Al: 0.250 0.250 0.750
Os: 0.250 0.250 0.250

## Properties
For the formation energy, the calculation gives 0.919 eV/atom.

# 8
Here is a relaxed structure of MgAlOs2 from the Alexandria database. Energies are from PBEsol.

a b c (Å): 5.411 7.743 2.768
angles (deg): 90.00 90.00 90.00
Space group Cmmm (No. 65)
Unique sites:
Mg: 0.000 0.000 0.000
Al: 0.000 0.500 0.000
Os: 0.250 0.250 0.500

## Properties
For the formation energy, the calculation gives 0.203 eV/atom.

# 9
Here is a relaxed structure of MgAlOs2 from the Alexandria database. Energies are from PBEsol.

a b c (Å): 2.890 4.653 9.039
angles (deg): 90.00 90.00 90.00
Space group Cmm2 (No. 35)
Unique sites:
Mg: 0.000 0.000 0.000
Al: 0.000 0.500 0.277
Os: 0.000 0.000 0.505
Os: 0.000 0.500 0.750

## Properties
For the formation energy, the calculation gives 0.349 eV/atom.

# 10
Here is a relaxed structure of Sr2MgAlOs from the Alexandria database. Energies are from PBEsol.

a b c (Å): 5.619 5.619 5.057
angles (deg): 90.00 90.00 90.00
Space group P4/mmm (No. 123)
Unique sites:
Sr: 0.000 0.500 0.000
Mg: 0.000 0.000 0.500
Al: 0.500 0.500 0.500
Os: 0.000 0.000 0.000

## Properties
For the formation energy, the calculation gives 0.645 eV/atom.

# 11
Here is a relaxed structure of MgAlP2 from the Alexandria database. Energies are from PBEsol.

a b c (Å): 4.280 4.280 6.887
angles (deg): 90.00 90.00 90.00
Space group I4/mmm (No. 139)
Unique sites:
Mg: 0.000 0.000 0.000
Al: 0.000 0.000 0.500
P: 0.000 0.500 0.250

## Properties
For the formation energy, the calculation gives -0.014 eV/atom.

# 12
Here is a relaxed structure of MgAlP2 from the Alexandria database. Energies are from PBEsol.

a b c (Å): 3.627 3.640 5.145
angles (deg): 90.00 90.00 90.00
Space group Pmmm (No. 47)
Unique sites:
Mg: 0.000 0.000 0.000
Al: 0.500 0.500 0.500
P: 0.000 0.000 0.500
P: 0.500 0.500 0.000

## Properties
For the formation energy, the calculation gives -0.273 eV/atom.

# 13
Here is a relaxed structure of MgAlP2 from the Alexandria database. Energies are from PBEsol.

a b c (Å): 3.655 5.082 7.184
angles (deg): 90.00 90.00 90.00
Space group Immm (No. 71)
Unique sites:
Mg: 0.000 0.000 0.000
Al: 0.000 0.000 0.500
P: 0.000 0.500 0.222

## Properties
For the formation energy, the calculation gives -0.079 eV/atom.

# 14
Here is a relaxed structure of Mg2AlP from the Alexandria database. Energies are from PBEsol.

a b c (Å): 3.355 3.355 6.632
angles (deg): 90.00 90.00 90.00
Space group P4mm (No. 99)
Unique sites:
Mg: 0.000 0.000 0.000
Mg: 0.500 0.500 0.309
Al: 0.500 0.500 0.725
P: 0.000 0.000 0.585

## Properties
For the formation energy, the calculation gives -0.077 eV/atom.

# 15
Here is a relaxed structure of MgAlP2 from the Alexandria database. Energies are from PBEsol.

a b c (Å): 3.318 3.318 5.751
angles (deg): 90.00 90.00 90.00
Space group P4/mmm (No. 123)
Unique sites:
Mg: 0.000 0.000 0.000
Al: 0.000 0.000 0.500
P: 0.500 0.500 0.277

## Properties
For the formation energy, the calculation gives -0.065 eV/atom.

# 16
Here is a relaxed structure of Mg2AlP from the Alexandria database. Energies are from PBEsol.

a b c (Å): 6.658 6.658 6.658
angles (deg): 90.00 90.00 90.00
Space group Fm-3m (No. 225)
Unique sites:
Mg: 0.250 0.250 0.250
Al: 0.000 0.000 0.000
P: 0.000 0.000 0.500

## Properties
For the formation energy, the calculation gives 0.061 eV/atom.

# 17
Here is a relaxed structure of Mg2Al2Pb from the Alexandria database. Energies are from PBEsol.

a b c (Å): 8.278 8.278 3.157
angles (deg): 90.00 90.00 90.00
Space group P4/mbm (No. 127)
Unique sites:
Mg: 0.181 0.319 0.000
Al: 0.114 0.614 0.500
Pb: 0.000 0.000 0.500

## Properties
For the formation energy, the calculation gives 0.064 eV/atom.

| no. | spin magnetization (μB/f.u.) | calculated density (g/cm³) |
| --- | --- | --- |
| 1 | 0.00 | 3.544 |
| 2 | 0.00 | 2.695 |
| 3 | 1.09 | 1.578 |
| 4 | 1.00 | 3.220 |
| 5 | 2.54 | 3.611 |
| 6 | 0.00 | 12.254 |
| 7 | 0.00 | 7.651 |
| 8 | 0.00 | 12.364 |
| 9 | 0.01 | 11.797 |
| 10 | 0.38 | 4.334 |
| 11 | 0.00 | 2.981 |
| 12 | 0.00 | 2.768 |
| 13 | 0.00 | 2.818 |
| 14 | 0.00 | 2.370 |
| 15 | 0.00 | 2.970 |
| 16 | 0.00 | 2.399 |
| 17 | 0.00 | 4.755 |